First-principles (PBE with a Hubbard U) data for a relaxed structure of MnCoHg2F, as listed in Alexandria via LeMat-Bulk.

Properties
Spin magnetization ... 6.94 μB per formula unit
Raw total energy ... -2.553 eV/atom

abc: 5.380 4.891 5.380
angles: 90.00 90.00 90.00
Positions (direct):
1 Hg 0.500 0.000 0.000
2 Hg 0.000 0.000 0.500
3 F 0.500 0.500 0.500
4 Mn 0.000 0.000 0.000
5 Co 0.000 0.500 0.000